1.
Below is a relaxed Mg2TlPb crystal, with properties calculated at the PBEsol level.

Results
As for the total energy: -10.40 eV per cell. For the magnetic moment, the calculation gives 0.000 μB/atom. The density of states at the Fermi level is 1.646 states/eV/cell. Its volume is 24.57 A^3/atom. For the formation enthalpy at 0 K, the calculation gives -0.083 eV per atom.

Unit cell a=3.701 b=5.154 c=5.154 alpha=90.00 beta=90.00 gamma=90.00
Element x y z (fractional)
Pb 0.375 0.000 0.375
Tl 0.375 0.500 0.875
Mg 0.875 0.000 0.875
Mg 0.875 0.500 0.375

***

2.
Below is a relaxed LiNbS2 crystal, with properties calculated at the PBEsol level.

Results
As for the total energy: -54.22 eV per cell. For the magnetic moment, the calculation gives 0.000 μB/atom. Its volume is 15.47 A^3/atom.

Unit cell a=3.341 b=3.341 c=12.804 alpha=90.00 beta=90.00 gamma=120.00
Element x y z (fractional)
Nb 0.000 0.000 0.250
Nb 0.000 0.000 0.750
S 0.333 0.667 0.373
S 0.333 0.667 0.127
S 0.667 0.333 0.873
S 0.667 0.333 0.627
Li 0.000 0.000 0.500
Li 0.000 0.000 0.000

***

3.
Below is a relaxed NbBiB2Ir crystal, with properties calculated at the PBEsol level.

Results
As for the total energy: -35.29 eV per cell. For the magnetic moment, the calculation gives 0.000 μB/atom. The density of states at the Fermi level is 2.193 states/eV/cell. Its volume is 17.58 A^3/atom. For the formation enthalpy at 0 K, the calculation gives 0.734 eV per atom.

Unit cell a=4.074 b=4.074 c=5.296 alpha=90.00 beta=90.00 gamma=90.00
Element x y z (fractional)
Nb 0.000 0.000 0.500
Ir 0.000 0.000 0.000
Bi 0.500 0.500 0.500
B 0.000 0.500 0.000
B 0.500 0.000 0.000

***

4.
Below is a relaxed BOs3O crystal, with properties calculated at the PBEsol level.

Results
As for the total energy: -41.79 eV per cell. For the magnetic moment, the calculation gives 0.644 μB/atom. The density of states at the Fermi level is 6.820 states/eV/cell. Its volume is 13.11 A^3/atom.

Unit cell a=4.032 b=4.032 c=4.032 alpha=90.00 beta=90.00 gamma=90.00
Element x y z (fractional)
B 0.000 0.000 0.000
Os 0.000 0.500 0.000
Os 0.000 0.000 0.500
Os 0.500 0.000 0.000
O 0.500 0.500 0.500

***

5.
Below is a relaxed CuTeOs3 crystal, with properties calculated at the PBEsol level.

Results
As for the total energy: -34.18 eV per cell. For the magnetic moment, the calculation gives 0.000 μB/atom. The density of states at the Fermi level is 4.898 states/eV/cell. Its volume is 17.58 A^3/atom.

Unit cell a=4.446 b=4.446 c=4.446 alpha=90.00 beta=90.00 gamma=90.00
Element x y z (fractional)
Te 0.500 0.500 0.500
Os 0.000 0.500 0.000
Os 0.000 0.000 0.500
Os 0.500 0.000 0.000
Cu 0.000 0.000 0.000

***

6.
Below is a relaxed CrRuRh3 crystal, with properties calculated at the PBEsol level.

Results
As for the total energy: -38.05 eV per cell. For the magnetic moment, the calculation gives 0.557 μB/atom. The density of states at the Fermi level is 6.350 states/eV/cell. Its volume is 16.11 A^3/atom. For the formation enthalpy at 0 K, the calculation gives 1.355 eV per atom.

Unit cell a=4.319 b=4.319 c=4.319 alpha=90.00 beta=90.00 gamma=90.00
Element x y z (fractional)
Ru 0.500 0.500 0.500
Rh 0.000 0.500 0.000
Rh 0.000 0.000 0.500
Rh 0.500 0.000 0.000
Cr 0.000 0.000 0.000

***

7.
Below is a relaxed NiPdSe2N crystal, with properties calculated at the PBEsol level.

Results
As for the total energy: -23.39 eV per cell. For the magnetic moment, the calculation gives 0.117 μB/atom. The density of states at the Fermi level is 5.362 states/eV/cell. Its volume is 17.86 A^3/atom.

Unit cell a=3.551 b=5.014 c=5.014 alpha=90.00 beta=90.00 gamma=90.00
Element x y z (fractional)
Ni 0.500 0.500 0.500
Se 0.000 0.000 0.500
Se 0.000 0.500 0.000
Pd 0.000 0.000 0.000
N 0.500 0.000 0.000

***

8.
Below is a relaxed Al2WSeI crystal, with properties calculated at the PBEsol level.

Results
As for the total energy: -25.70 eV per cell. For the magnetic moment, the calculation gives 0.000 μB/atom. The density of states at the Fermi level is 5.459 states/eV/cell. Its volume is 24.95 A^3/atom.

Unit cell a=4.643 b=5.183 c=5.183 alpha=90.00 beta=90.00 gamma=90.00
Element x y z (fractional)
I 0.500 0.500 0.500
Se 0.500 0.000 0.000
W 0.000 0.000 0.000
Al 0.000 0.000 0.500
Al 0.000 0.500 0.000